Material: Al2MoW
Method: DFT, GGA-PBEsol
State: relaxed

a = 3.2180 Å, b = 3.2180 Å, c = 5.8346 Å
α = 90.00°, β = 90.00°, γ = 90.00°
Last column: nearest neighbours and their distance in Å.
Space group P4mm (No. 99)
Inequivalent atoms, fractional coordinates:
1 Al 0.0000 0.0000 0.0000  4 Al 2.71, 4 W 2.73, 2 Mo 2.87-2.96
2 Al 0.5000 0.5000 0.2520  4 Al 2.71, 4 Mo 2.72, 2 W 2.85-2.98
3 Mo 0.0000 0.0000 0.5074  4 W 2.65, 6 Al 2.72-2.96
4 W 0.5000 0.5000 0.7413  4 Mo 2.65, 5 Al 2.73-2.85

Properties
The energy of formation from the pure elements is -0.1564 eV/atom. The density of states at the Fermi level comes out at 2.113 states/eV/cell.

***

Material: Y2AlMo
Method: DFT, GGA-PBEsol
State: relaxed

a = 3.3142 Å, b = 3.3142 Å, c = 28.4391 Å
α = 90.00°, β = 90.00°, γ = 120.00°
Last column: nearest neighbours and their distance in Å.
Space group R-3m (No. 166, hexagonal axes)
Inequivalent atoms, fractional coordinates:
1 Y 0.0000 0.0000 0.2456  3 Mo 2.95, 3 Al 3.15
2 Al 0.0000 0.0000 0.0000  6 Y 3.15, 6 Al 3.31
3 Mo 0.0000 0.0000 0.5000  6 Y 2.95

Properties
The energy of formation from the pure elements is 0.3246 eV/atom. The density of states at the Fermi level comes out at 14.482 states/eV/cell.

***

Material: YAl2Mo
Method: DFT, GGA-PBEsol
State: relaxed

a = 4.0127 Å, b = 4.4274 Å, c = 8.1009 Å
α = 90.00°, β = 90.00°, γ = 90.00°
Last column: nearest neighbours and their distance in Å.
Space group Immm (No. 71)
Inequivalent atoms, fractional coordinates:
1 Y 0.0000 0.0000 0.0000  8 Al 2.89-2.96, 4 Mo 2.99
2 Al 0.0000 0.5000 0.2426  4 Mo 2.81-3.04, 4 Y 2.89-2.96, 4 Al 2.99
3 Mo 0.0000 0.0000 0.5000  8 Al 2.81-3.04, 4 Y 2.99

Properties
The energy of formation from the pure elements is -0.1347 eV/atom. The density of states at the Fermi level comes out at 2.509 states/eV/cell.

***

Material: Al2ZnMo
Method: DFT, GGA-PBEsol
State: relaxed

a = 3.7487 Å, b = 3.7487 Å, c = 8.2554 Å
α = 90.00°, β = 90.00°, γ = 90.00°
Last column: nearest neighbours and their distance in Å.
Space group I4/mmm (No. 139)
Inequivalent atoms, fractional coordinates:
1 Al 0.0000 0.5000 0.2500  4 Al 2.65, 4 Mo 2.79, 4 Zn 2.79
2 Zn 0.0000 0.0000 0.0000  4 Mo 2.65, 8 Al 2.79
3 Mo 0.0000 0.0000 0.5000  4 Zn 2.65, 8 Al 2.79

Properties
The energy of formation from the pure elements is -0.2566 eV/atom. The density of states at the Fermi level comes out at 0.665 states/eV/cell.

***

Material: AlZn2Mo
Method: DFT, GGA-PBEsol
State: relaxed

a = 2.6246 Å, b = 4.6111 Å, c = 4.8341 Å
α = 90.00°, β = 95.39°, γ = 90.00°
Last column: nearest neighbours and their distance in Å.
Space group P2/m (No. 10)
Inequivalent atoms, fractional coordinates:
1 Al 0.0000 0.0000 0.0000  2 Al 2.62, 4 Mo 2.64-2.86, 4 Zn 2.67
2 Zn 0.1696 0.5000 0.7444  4 Zn 2.45-2.70, 2 Al 2.67
3 Mo 0.5000 0.0000 0.5000  2 Mo 2.62, 4 Al 2.64-2.86, 4 Zn 2.77

Properties
The energy of formation from the pure elements is 0.0464 eV/atom. The density of states at the Fermi level comes out at 2.134 states/eV/cell.

***

Material: AlZn2Mo
Method: DFT, GGA-PBEsol
State: relaxed

a = 2.7227 Å, b = 4.2191 Å, c = 5.1088 Å
α = 90.00°, β = 90.07°, γ = 90.00°
Last column: nearest neighbours and their distance in Å.
Space group Pm (No. 6)
Inequivalent atoms, fractional coordinates:
1 Al 0.0000 0.0000 0.0000  4 Zn 2.43-2.68
2 Zn 0.0004 0.5000 0.7230  4 Zn 2.46-2.72, 2 Al 2.54
3 Zn 0.0051 0.0000 0.4755  2 Al 2.43-2.68, 2 Zn 2.46
4 Mo 0.5016 0.5000 0.2222  2 Mo 2.72, 4 Al 2.75-2.76, 8 Zn 2.82-2.90

Properties
The energy of formation from the pure elements is 0.0289 eV/atom. The density of states at the Fermi level comes out at 2.065 states/eV/cell.

***

Material: AlZn2Mo
Method: DFT, GGA-PBEsol
State: relaxed

a = 3.7501 Å, b = 3.7501 Å, c = 3.9912 Å
α = 90.00°, β = 90.00°, γ = 90.00°
Last column: nearest neighbours and their distance in Å.
Space group P4/mmm (No. 123)
Inequivalent atoms, fractional coordinates:
1 Al 0.0000 0.0000 0.0000  4 Mo 2.65, 8 Zn 2.74
2 Zn 0.0000 0.5000 0.5000  4 Zn 2.65, 4 Mo 2.74, 4 Al 2.74
3 Mo 0.5000 0.5000 0.0000  4 Al 2.65, 8 Zn 2.74

Properties
The energy of formation from the pure elements is -0.0922 eV/atom. The density of states at the Fermi level comes out at 2.446 states/eV/cell.

***

Material: Al2ZnMo
Method: DFT, GGA-PBEsol
State: relaxed

a = 3.6766 Å, b = 3.6766 Å, c = 8.4962 Å
α = 90.00°, β = 90.00°, γ = 90.00°
Last column: nearest neighbours and their distance in Å.
Space group I-4m2 (No. 119)
Inequivalent atoms, fractional coordinates:
1 Al 0.0000 0.0000 0.0000  4 Zn 2.60, 4 Mo 2.81, 4 Al 2.81
2 Al 0.0000 0.5000 0.2500  4 Mo 2.60, 4 Al 2.81, 4 Zn 2.81
3 Zn 0.0000 0.0000 0.5000  8 Al 2.60-2.81, 4 Mo 2.81
4 Mo 0.0000 0.5000 0.7500  8 Al 2.60-2.81, 4 Zn 2.81

Properties
The energy of formation from the pure elements is -0.2559 eV/atom. The density of states at the Fermi level comes out at 1.137 states/eV/cell.

***

Material: Al2ZnMo
Method: DFT, GGA-PBEsol
State: relaxed

a = 2.6874 Å, b = 4.3478 Å, c = 5.1056 Å
α = 90.00°, β = 95.43°, γ = 90.00°
Last column: nearest neighbours and their distance in Å.
Space group P2/m (No. 10)
Inequivalent atoms, fractional coordinates:
1 Al 0.1245 0.0000 0.2470  4 Al 2.55-2.73, 2 Zn 2.57, 2 Mo 2.75
2 Zn 0.0000 0.5000 0.5000  4 Al 2.57, 2 Zn 2.69, 2 Mo 2.77
3 Mo 0.5000 0.5000 0.0000  2 Mo 2.69, 8 Al 2.75-2.96, 4 Zn 2.77-3.00

Properties
The energy of formation from the pure elements is -0.0508 eV/atom. The density of states at the Fermi level comes out at 1.272 states/eV/cell.

***

Material: AlZn2Mo
Method: DFT, GGA-PBEsol
State: relaxed

a = 3.6326 Å, b = 3.6326 Å, c = 8.6242 Å
α = 90.00°, β = 90.00°, γ = 90.00°
Last column: nearest neighbours and their distance in Å.
Space group I4/mmm (No. 139)
Inequivalent atoms, fractional coordinates:
1 Al 0.0000 0.0000 0.0000  4 Mo 2.57, 8 Zn 2.82
2 Zn 0.0000 0.5000 0.2500  4 Zn 2.57, 4 Mo 2.82, 4 Al 2.82
3 Mo 0.0000 0.0000 0.5000  4 Al 2.57, 8 Zn 2.82

Properties
The energy of formation from the pure elements is -0.0442 eV/atom. The density of states at the Fermi level comes out at 4.698 states/eV/cell.

***

Material: ZrAlMo2
Method: DFT, GGA-PBEsol
State: relaxed

a = 5.5732 Å, b = 8.8837 Å, c = 2.6867 Å
α = 90.00°, β = 90.00°, γ = 90.00°
Last column: nearest neighbours and their distance in Å.
Space group Cmmm (No. 65)
Inequivalent atoms, fractional coordinates:
1 Zr 0.0000 0.0000 0.0000  2 Zr 2.69, 2 Al 2.79, 8 Mo 2.95
2 Al 0.0000 0.5000 0.0000  2 Al 2.69, 2 Zr 2.79, 8 Mo 2.95
3 Mo 0.2500 0.2500 0.5000  4 Mo 2.69-2.79, 4 Zr 2.95, 4 Al 2.95

Properties
The energy of formation from the pure elements is 0.1283 eV/atom. The density of states at the Fermi level comes out at 6.804 states/eV/cell.

***

Material: ZrAlMo2
Method: DFT, GGA-PBEsol
State: relaxed

a = 3.3397 Å, b = 4.4599 Å, c = 8.8118 Å
α = 90.00°, β = 90.00°, γ = 90.00°
Last column: nearest neighbours and their distance in Å.
Space group Cmmm (No. 65)
Inequivalent atoms, fractional coordinates:
1 Zr 0.0000 0.0000 0.0000  4 Zr 2.79, 4 Mo 2.89
2 Al 0.0000 0.0000 0.5000  4 Mo 2.64, 4 Al 2.79
3 Mo 0.0000 0.5000 0.2673  2 Al 2.64, 4 Mo 2.79, 2 Zr 2.89

Properties
The energy of formation from the pure elements is 0.0121 eV/atom. The density of states at the Fermi level comes out at 6.921 states/eV/cell.